Pm4Sn5Pd2 after structural relaxation, computed with PBE.

Unit cell a=7.8458 b=3.9326 c=9.3937 alpha=90.00 beta=91.50 gamma=90.00
Last column: nearest neighbours and their distance in Å.
Fractional coordinates of all 11 atoms:
Pm: 0.2162 0.0000 0.3583  2 Pd 3.06, 8 Sn 3.23-3.33
Pm: 0.2276 0.0000 0.9102  4 Pd 3.10-3.15, 6 Sn 3.32-3.45
Pm: 0.7724 0.0000 0.0898  4 Pd 3.10-3.15, 6 Sn 3.32-3.45
Pm: 0.7838 0.0000 0.6417  2 Pd 3.06, 8 Sn 3.23-3.33
Sn: 0.1257 0.5000 0.6302  1 Pd 2.80, 1 Sn 3.10
Sn: 0.4438 0.5000 0.1572  1 Pd 2.83, 1 Sn 3.10
Sn: 0.5000 0.5000 0.5000  4 Sn 3.21-3.24, 4 Pm 3.23
Sn: 0.5562 0.5000 0.8428  1 Pd 2.83, 1 Sn 3.10
Sn: 0.8743 0.5000 0.3698  1 Pd 2.80, 1 Sn 3.10
Pd: 0.0835 0.5000 0.1325  1 Pd 2.78, 2 Sn 2.80-2.83, 4 Pm 3.06-3.10
Pd: 0.9165 0.5000 0.8675  1 Pd 2.78, 2 Sn 2.80-2.83, 4 Pm 3.06-3.10

## Properties
* E: -5.215 eV/atom
* calculated formation energy: -0.723 eV per atom
* ρ: 7.9 g cm⁻³
* SG: P2/m, No. 10

=====

Re5Os2 after structural relaxation, computed with PBE.

Unit cell a=4.7785 b=4.7785 c=8.2915 alpha=95.57 beta=95.57 gamma=33.43
Last column: nearest neighbours and their distance in Å.
Fractional coordinates of all 7 atoms:
Re: 0.0000 0.0000 0.0000  6 Re 2.75, 6 Os 2.76-2.77
Re: 0.1429 0.1429 0.5749  2 Os 2.72, 10 Re 2.75-2.79
Re: 0.4279 0.4279 0.7159  3 Os 2.74-2.75, 9 Re 2.75-2.79
Re: 0.5721 0.5721 0.2841  3 Os 2.74-2.75, 9 Re 2.75-2.79
Re: 0.8571 0.8571 0.4251  2 Os 2.72, 10 Re 2.75-2.79
Os: 0.2861 0.2861 0.1444  8 Re 2.72-2.77, 4 Os 2.75-2.78
Os: 0.7139 0.7139 0.8556  8 Re 2.72-2.77, 4 Os 2.75-2.78

## Properties
* ΔE to the lowest computed polymorph: 0.0 meV per atom
* E: -12.020 eV/atom
* calculated formation energy: 0.080 eV per atom
* ρ: 21.0 g cm⁻³
* SG: C2/m, No. 12